Entry 1:
# NbSn2Ru | Alexandria via LeMat-Bulk | PBE | optimized geometry
# E   -6.71 eV per atom
# Crystal system   cubic
# Energy relative to the elements   124 meV per atom
# Energy above the lowest structure with this stoichiometry   0 kJ/mol of formula units
data_NbSn2Ru
_space_group_name_H-M_alt 'F m -3 m'
_space_group_IT_number 225
_space_group_name_Hall '-F 4 2 3'
_cell_length_a 6.6927
_cell_length_b 6.6927
_cell_length_c 6.6927
_cell_angle_alpha 90.00
_cell_angle_beta 90.00
_cell_angle_gamma 90.00
loop_
_atom_site_label
_atom_site_type_symbol
_atom_site_fract_x
_atom_site_fract_y
_atom_site_fract_z
Nb1 Nb 0.0000 0.0000 0.0000
Sn1 Sn 0.2500 0.2500 0.2500
Ru1 Ru 0.0000 0.0000 0.5000

Entry 2:
# NbSnRu3 | Alexandria via LeMat-Bulk | PBE | optimized geometry
# E   -7.07 eV per atom
# Crystal system   cubic
# Energy relative to the elements   1309 meV per atom
# Energy above the lowest structure with this stoichiometry   0 kJ/mol of formula units
data_NbSnRu3
_space_group_name_H-M_alt 'P m -3 m'
_space_group_IT_number 221
_space_group_name_Hall '-P 4 2 3'
_cell_length_a 4.7197
_cell_length_b 4.7197
_cell_length_c 4.7197
_cell_angle_alpha 90.00
_cell_angle_beta 90.00
_cell_angle_gamma 90.00
loop_
_atom_site_label
_atom_site_type_symbol
_atom_site_fract_x
_atom_site_fract_y
_atom_site_fract_z
Nb1 Nb 0.0000 0.0000 0.0000
Sn1 Sn 0.5000 0.5000 0.5000
Ru1 Ru 0.0000 0.0000 0.5000

Entry 3:
# Nb3SnRu | Alexandria via LeMat-Bulk | PBE | optimized geometry
# E   -8.56 eV per atom
# Crystal system   orthorhombic
# Energy relative to the elements   138 meV per atom
# Energy above the lowest structure with this stoichiometry   0 kJ/mol of formula units
data_Nb3SnRu
_space_group_name_H-M_alt 'P n m a'
_space_group_IT_number 62
_space_group_name_Hall '-P 2ac 2n'
_cell_length_a 5.4986
_cell_length_b 8.6189
_cell_length_c 8.0411
_cell_angle_alpha 90.00
_cell_angle_beta 90.00
_cell_angle_gamma 90.00
loop_
_atom_site_label
_atom_site_type_symbol
_atom_site_fract_x
_atom_site_fract_y
_atom_site_fract_z
Nb1 Nb 0.0514 0.0556 0.1781
Nb2 Nb 0.2422 0.2500 0.4933
Sn1 Sn 0.2328 0.2500 0.8796
Ru1 Ru 0.0000 0.0000 0.5000

Which formula does entry 3 have? Nb3SnRu